Entry 1:
An optimized crystal structure of BaCoCu4. Source: the Alexandria database, functional GGA-PBE.

a = 5.2032 Å, b = 5.2032 Å, c = 5.2032 Å
α = 60.00°, β = 60.00°, γ = 60.00°
Closest atoms and distances in Å follow each position.
Fractional positions:
Ba 0.7500 0.7500 0.7500  12 Cu 3.06, 4 Co 3.19
Co 0.0000 0.0000 0.0000  12 Cu 3.04, 4 Ba 3.19
Cu 0.8835 0.3722 0.3722  6 Cu 2.54-2.66
Cu 0.3722 0.3722 0.8835  6 Cu 2.54-2.66
Cu 0.3722 0.8835 0.3722  6 Cu 2.54-2.66
Cu 0.3722 0.3722 0.3722  6 Cu 2.54-2.66

DFT formation energy: 382 meV/atom
DOS(E_F): 6.2 states/eV/f.u.

=====

Entry 2:
An optimized crystal structure of Ba3CoCu. Source: the Alexandria database, functional GGA-PBE.

a = 5.7981 Å, b = 5.7981 Å, c = 5.7981 Å
α = 90.00°, β = 90.00°, γ = 90.00°
Closest atoms and distances in Å follow each position.
Fractional positions:
Co 0.0000 0.0000 0.0000  6 Ba 2.90
Ba 0.0000 0.5000 0.0000  2 Co 2.90
Ba 0.0000 0.0000 0.5000  2 Co 2.90
Ba 0.5000 0.0000 0.0000  2 Co 2.90
Cu 0.5000 0.5000 0.5000  12 Ba 4.10

DFT formation energy: 402 meV/atom
relative energy among the computed polymorphs: 0 meV/atom
DOS(E_F): 4.3 states/eV/f.u.

=====

Entry 3:
An optimized crystal structure of BaCoCu2. Source: the Alexandria database, functional GGA-PBE.

a = 4.2046 Å, b = 4.6549 Å, c = 4.8515 Å
α = 84.67°, β = 90.00°, γ = 90.00°
Closest atoms and distances in Å follow each position.
Fractional positions:
Ba 0.0000 0.5113 0.4993  7 Cu 3.17-3.52, 4 Co 3.35-3.44
Co 0.5000 0.7523 0.9648  4 Cu 2.34-2.38
Cu 0.0000 0.9883 0.9887  2 Co 2.38, 2 Cu 2.46
Cu 0.5000 0.2481 0.0472  2 Co 2.34-2.38, 2 Cu 2.46

DFT formation energy: 382 meV/atom
relative energy among the computed polymorphs: 233 meV/atom
DOS(E_F): 5.9 states/eV/f.u.

=====

Entry 4:
An optimized crystal structure of BaCo2Cu. Source: the Alexandria database, functional GGA-PBE.

a = 5.0468 Å, b = 5.0468 Å, c = 5.0468 Å
α = 129.62°, β = 129.62°, γ = 74.01°
Closest atoms and distances in Å follow each position.
Fractional positions:
Ba 0.7500 0.2500 0.5000  8 Co 2.95-3.04, 4 Cu 2.95
Co 0.0000 0.0000 0.0000  4 Co 2.95, 4 Ba 2.95, 4 Cu 3.04
Co 0.2500 0.7500 0.5000  4 Co 2.95, 4 Cu 2.95, 4 Ba 3.04
Cu 0.5000 0.5000 0.0000  4 Ba 2.95, 8 Co 2.95-3.04

DFT formation energy: 921 meV/atom
DOS(E_F): 6.7 states/eV/f.u.

=====

Entry 5:
An optimized crystal structure of BaCoCu2. Source: the Alexandria database, functional GGA-PBE.

a = 6.0494 Å, b = 6.0494 Å, c = 6.0494 Å
α = 40.81°, β = 40.81°, γ = 40.81°
Closest atoms and distances in Å follow each position.
Fractional positions:
Ba 0.2500 0.2500 0.2500  8 Cu 3.10-3.45
Co 0.7500 0.7500 0.7500  6 Cu 2.46
Cu 0.0635 0.0635 0.0635  3 Co 2.46, 3 Cu 2.52
Cu 0.4365 0.4365 0.4365  3 Co 2.46, 3 Cu 2.52

DFT formation energy: 166 meV/atom
relative energy among the computed polymorphs: 17 meV/atom
DOS(E_F): 6.0 states/eV/f.u.

=====

Entry 6:
An optimized crystal structure of BaCoCu2. Source: the Alexandria database, functional GGA-PBE.

a = 4.9497 Å, b = 4.9497 Å, c = 4.9497 Å
α = 60.00°, β = 60.00°, γ = 60.00°
Closest atoms and distances in Å follow each position.
Fractional positions:
Co 0.0000 0.0000 0.0000  8 Cu 3.03
Ba 0.5000 0.5000 0.5000  8 Cu 3.03
Cu 0.2500 0.2500 0.2500  4 Ba 3.03, 4 Co 3.03
Cu 0.7500 0.7500 0.7500  4 Ba 3.03, 4 Co 3.03

DFT formation energy: 724 meV/atom
relative energy among the computed polymorphs: 575 meV/atom
DOS(E_F): 6.5 states/eV/f.u.

=====

Entry 7:
An optimized crystal structure of BaCoCu2. Source: the Alexandria database, functional GGA-PBE.

a = 5.1739 Å, b = 5.1739 Å, c = 5.1739 Å
α = 131.73°, β = 111.51°, γ = 88.14°
Closest atoms and distances in Å follow each position.
Fractional positions:
Ba 0.5010 0.5010 0.0000  4 Co 3.13-3.33, 4 Cu 3.17-3.25
Co 0.1551 0.6551 0.5000  3 Cu 2.37-2.40
Cu 0.0118 0.0118 0.0000  2 Co 2.37, 2 Cu 2.50
Cu 0.8321 0.3321 0.5000  1 Co 2.40, 2 Cu 2.50

DFT formation energy: 541 meV/atom
relative energy among the computed polymorphs: 392 meV/atom
DOS(E_F): 6.0 states/eV/f.u.

=====

Entry 8:
An optimized crystal structure of BaCo2Cu. Source: the Alexandria database, functional GGA-PBE.

a = 4.2523 Å, b = 4.1126 Å, c = 5.1817 Å
α = 80.13°, β = 90.00°, γ = 90.00°
Closest atoms and distances in Å follow each position.
Fractional positions:
Ba 0.5000 0.7500 0.7500  2 Cu 3.02, 4 Co 3.34
Co 0.0000 0.0146 0.1654  2 Co 2.20-2.26, 2 Cu 2.41
Co 0.0000 0.4854 0.3346  2 Co 2.20-2.26, 2 Cu 2.41
Cu 0.5000 0.2500 0.2500  4 Co 2.41

DFT formation energy: 505 meV/atom
DOS(E_F): 5.3 states/eV/f.u.

=====

Entry 9:
An optimized crystal structure of BaCoCu2. Source: the Alexandria database, functional GGA-PBE.

a = 3.2372 Å, b = 3.2393 Å, c = 7.1546 Å
α = 90.00°, β = 90.00°, γ = 90.00°
Closest atoms and distances in Å follow each position.
Fractional positions:
Ba 0.5000 0.5000 0.2500  4 Ba 3.24, 8 Cu 3.31, 2 Co 3.58
Co 0.5000 0.5000 0.7500  8 Cu 2.58
Cu 0.0000 0.0000 0.9160  1 Cu 2.38, 4 Co 2.58
Cu 0.0000 0.0000 0.5840  1 Cu 2.38, 4 Co 2.58

DFT formation energy: 451 meV/atom
relative energy among the computed polymorphs: 302 meV/atom
DOS(E_F): 5.6 states/eV/f.u.

=====

Entry 10:
An optimized crystal structure of BaCoCu2. Source: the Alexandria database, functional GGA-PBE.

a = 4.1041 Å, b = 4.1092 Å, c = 4.4458 Å
α = 90.00°, β = 90.00°, γ = 90.00°
Closest atoms and distances in Å follow each position.
Fractional positions:
Ba 0.5000 0.0000 0.5000  4 Co 2.90, 8 Cu 3.03
Co 0.0000 0.5000 0.5000  4 Ba 2.90, 8 Cu 3.03
Cu 0.0000 0.0000 0.0000  4 Cu 2.90, 4 Ba 3.03, 4 Co 3.03
Cu 0.5000 0.5000 0.0000  4 Cu 2.90, 4 Co 3.03, 4 Ba 3.03

DFT formation energy: 740 meV/atom
relative energy among the computed polymorphs: 591 meV/atom
DOS(E_F): 2.9 states/eV/f.u.

=====

Entry 11:
An optimized crystal structure of BaCoCu2. Source: the Alexandria database, functional GGA-PBE.

a = 4.5974 Å, b = 6.7536 Å, c = 3.8228 Å
α = 55.57°, β = 89.97°, γ = 119.96°
Closest atoms and distances in Å follow each position.
Fractional positions:
Ba 0.5000 0.5000 0.0000  2 Co 2.79, 8 Cu 2.99
Co 0.5000 0.0000 0.5000  2 Ba 2.79, 8 Cu 2.99
Cu 0.0000 0.0000 0.0000  2 Cu 2.79, 4 Co 2.99, 4 Ba 2.99
Cu 0.0000 0.5000 0.5000  2 Cu 2.79, 4 Ba 2.99, 4 Co 2.99

DFT formation energy: 745 meV/atom
relative energy among the computed polymorphs: 596 meV/atom
DOS(E_F): 3.3 states/eV/f.u.

=====

Entry 12:
An optimized crystal structure of BaCoCu2. Source: the Alexandria database, functional GGA-PBE.

a = 4.2024 Å, b = 4.7381 Å, c = 4.8208 Å
α = 89.98°, β = 90.00°, γ = 90.00°
Closest atoms and distances in Å follow each position.
Fractional positions:
Ba 0.5000 0.2500 0.2500  4 Co 3.38, 8 Cu 3.41
Co 0.5000 0.7500 0.7500  4 Cu 2.41
Cu 0.0000 0.0010 0.7500  2 Cu 2.36-2.38, 2 Co 2.41
Cu 0.0000 0.4990 0.7500  2 Cu 2.36-2.38, 2 Co 2.41

DFT formation energy: 383 meV/atom
relative energy among the computed polymorphs: 234 meV/atom
DOS(E_F): 3.2 states/eV/f.u.

=====

Q: DOS(E_F) of number 4 (BaCo2Cu)?
A: 6.7 states/eV/f.u.